A plane-wave DFT calculation with PBE with a Hubbard U was carried out for BaMgCo4O8 after structural relaxation.

Output
- magnetization (μB per atom) = 1.145
- theoretical density (g cm⁻³) = 4.86
- crystal system = trigonal
- uncorrected energy (eV per atom) = -5.895

Cell: 5.3200 5.3200 7.3240 Å, 90.00 90.00 120.00°
Element x y z (fractional)
Ba  0.0000  0.0000  0.0000
Mg  0.0000  0.0000  0.5000
Co  0.3333  0.6667  0.2533
Co  0.3333  0.6667  0.7467
Co  0.6667  0.3333  0.2533
Co  0.6667  0.3333  0.7467
O  0.0000  0.3178  0.3218
O  0.0000  0.6822  0.6782
O  0.3178  0.0000  0.3218
O  0.3178  0.3178  0.6782
O  0.3333  0.6667  0.0000
O  0.6667  0.3333  0.0000
O  0.6822  0.0000  0.6782
O  0.6822  0.6822  0.3218